## AlAgPd2 (PBE)

Data for a relaxed structure of AlAgPd2.

```
12
Lattice="2.936 0.000 0.000 -1.468 2.542 0.000 0.000 0.000 25.568" Properties=species:S:1:pos:R:3 pbc="T T T"
Al 0.000 0.000 0.000
Al 0.000 1.695 17.045
Al 1.468 0.847 8.523
Ag 0.000 0.000 12.784
Ag 0.000 1.695 4.261
Ag 1.468 0.847 21.307
Pd 0.000 0.000 6.630
Pd 0.000 0.000 18.938
Pd 0.000 1.695 10.415
Pd 0.000 1.695 23.676
Pd 1.468 0.847 1.892
Pd 1.468 0.847 15.153
```

Computed properties:
Final energy (eV per atom): -4.69
V (Å³/cell): 190.8



## AlAgPd2 (PBE)

Data for a relaxed structure of AlAgPd2.

```
16
Lattice="7.044 0.000 0.000 0.000 7.044 0.000 0.000 0.000 5.461" Properties=species:S:1:pos:R:3 pbc="T T T"
Al 0.000 0.000 0.000
Al 0.000 3.522 1.365
Al 3.522 0.000 4.096
Al 3.522 3.522 2.731
Ag 0.000 0.000 2.731
Ag 0.000 3.522 4.096
Ag 3.522 0.000 1.365
Ag 3.522 3.522 0.000
Pd 1.505 5.283 0.683
Pd 1.761 1.505 4.779
Pd 1.761 2.017 2.048
Pd 2.017 5.283 3.413
Pd 5.027 1.761 3.413
Pd 5.283 5.027 2.048
Pd 5.283 5.539 4.779
Pd 5.539 1.761 0.683
```

Computed properties:
Final energy (eV per atom): -4.51
V (Å³/cell): 270.9



## Al2AgPd (PBE)

Data for a relaxed structure of Al2AgPd.

```
12
Lattice="4.206 0.000 0.000 -2.103 3.643 0.000 0.000 0.000 13.730" Properties=species:S:1:pos:R:3 pbc="T T T"
Al 0.000 0.000 0.000
Al 0.000 0.000 2.885
Al 0.000 2.429 9.153
Al 0.000 2.429 12.038
Al 2.103 1.214 4.577
Al 2.103 1.214 7.461
Ag 0.000 0.000 10.800
Ag 0.000 2.429 6.223
Ag 2.103 1.214 1.647
Pd 0.000 0.000 8.063
Pd 0.000 2.429 3.486
Pd 2.103 1.214 12.640
```

Computed properties:
ΔE to the lowest computed polymorph (meV/atom): 112.0
V (Å³/cell): 210.4



## Al2AgPd2 (PBE)

Data for a relaxed structure of Al2AgPd2.

```
10
Lattice="3.839 0.000 0.000 0.000 3.839 0.000 0.000 0.000 11.634" Properties=species:S:1:pos:R:3 pbc="T T T"
Al 0.000 1.920 2.909
Al 0.000 1.920 8.726
Al 1.920 0.000 2.909
Al 1.920 0.000 8.726
Ag 0.000 0.000 0.000
Ag 1.920 1.920 5.817
Pd 0.000 0.000 4.501
Pd 0.000 0.000 7.133
Pd 1.920 1.920 1.316
Pd 1.920 1.920 10.318
```

Computed properties:
ΔE to the lowest computed polymorph (meV/atom): 218.3
V (Å³/cell): 171.5